Record 1
## TaMnCo2 (PBEsol)

Data for a geometry-optimized TaMnCo2 structure.

Lattice parameters (Å, degrees): 5.0418 7.9752 2.6258 90.00 109.06 90.00
With the nearest neighbours (Å) after each atom.
Space group C2/m (No. 12)
Inequivalent atoms, fractional coordinates:
Ta: 0.0000 0.0000 0.0000 [2 per cell]  4 Co 2.49, 2 Mn 2.52, 2 Ta 2.63
Mn: 0.0000 0.5000 0.0000 [2 per cell]  4 Co 2.49, 2 Ta 2.52, 2 Mn 2.63
Co: 0.2500 0.2500 0.5000 [4 per cell]  2 Ta 2.49, 2 Mn 2.49, 4 Co 2.52-2.63

Properties
DFT total energy in eV per atom: -9.327
Total magnetic moment in μB per cell: 8.76
DOS(E_F) in states/eV per cell: 10.31
V in Å³/cell: 100
Energy of formation from the pure elements in eV per atom: 0.120
Energy above the most stable polymorph in this dataset in eV/atom: 0.266


Record 2
## AlAg5 (PBEsol)

Data for a geometry-optimized AlAg5 structure.

Lattice parameters (Å, degrees): 4.9437 2.8608 6.9297 90.00 91.06 90.00
With the nearest neighbours (Å) after each atom.
Space group P2/m (No. 10)
Inequivalent atoms, fractional coordinates:
Al: 0.0000 0.0000 0.0000 [1 per cell]  10 Ag 2.76-2.88, 2 Al 2.86
Ag: 0.1610 0.5000 0.3225 [2 per cell]  2 Al 2.76, 10 Ag 2.82-2.95
Ag: 0.3316 0.0000 0.6631 [2 per cell]  11 Ag 2.83-2.89, 1 Al 2.88
Ag: 0.5000 0.5000 0.0000 [1 per cell]  8 Ag 2.82-2.86, 4 Al 2.86

Properties
DFT total energy in eV per atom: -3.492
Total magnetic moment in μB per cell: 0.00
DOS(E_F) in states/eV per cell: 1.68
V in Å³/cell: 98
Energy of formation from the pure elements in eV per atom: -0.051
Energy above the most stable polymorph in this dataset in eV/atom: 0.020


Record 3
## Te2PtSeN (PBEsol)

Data for a geometry-optimized Te2PtSeN structure.

Lattice parameters (Å, degrees): 5.3888 5.3888 3.5237 90.00 90.00 90.00
With the nearest neighbours (Å) after each atom.
Space group P4/mmm (No. 123)
Inequivalent atoms, fractional coordinates:
Te: 0.0000 0.5000 0.0000 [2 per cell]  2 Se 2.69
Pt: 0.0000 0.0000 0.5000 [1 per cell]  8 Te 3.22, 2 Pt 3.52
Se: 0.5000 0.5000 0.0000 [1 per cell]  2 N 1.76
N: 0.5000 0.5000 0.5000 [1 per cell]  2 Se 1.76

Properties
DFT total energy in eV per atom: -4.202
Total magnetic moment in μB per cell: 0.00
DOS(E_F) in states/eV per cell: 3.21
V in Å³/cell: 102


Record 4
## TlOsPdI2 (PBEsol)

Data for a geometry-optimized TlOsPdI2 structure.

Lattice parameters (Å, degrees): 5.3892 5.3892 5.0090 90.00 90.00 90.00
With the nearest neighbours (Å) after each atom.
Space group P4/mmm (No. 123)
Inequivalent atoms, fractional coordinates:
Tl: 0.0000 0.0000 0.0000 [1 per cell]  8 I 3.68, 4 Os 3.81
Os: 0.5000 0.5000 0.0000 [1 per cell]  2 Pd 2.50
Pd: 0.5000 0.5000 0.5000 [1 per cell]  2 Os 2.50, 4 I 2.69
I: 0.0000 0.5000 0.5000 [2 per cell]  2 Pd 2.69

Properties
DFT total energy in eV per atom: -3.861
Total magnetic moment in μB per cell: 3.12
DOS(E_F) in states/eV per cell: 5.03
V in Å³/cell: 145


Record 5
## La2CdIn (PBEsol)

Data for a geometry-optimized La2CdIn structure.

Lattice parameters (Å, degrees): 7.7532 7.7532 7.7532 90.00 90.00 90.00
With the nearest neighbours (Å) after each atom.
Space group Fm-3m (No. 225)
Inequivalent atoms, fractional coordinates:
La: 0.2500 0.2500 0.2500 [8 per cell]  4 Cd 3.36, 4 In 3.36
Cd: 0.0000 0.0000 0.0000 [4 per cell]  8 La 3.36
In: 0.0000 0.0000 0.5000 [4 per cell]  8 La 3.36

Properties
DFT total energy in eV per atom: -4.147
Total magnetic moment in μB per cell: 0.00
DOS(E_F) in states/eV per cell: 21.54
V in Å³/cell: 466
Energy of formation from the pure elements in eV per atom: -0.429


Record 6
## CrOsRu2I (PBEsol)

Data for a geometry-optimized CrOsRu2I structure.

Lattice parameters (Å, degrees): 4.4246 4.4246 4.4954 90.00 90.00 90.00
With the nearest neighbours (Å) after each atom.
Space group P4/mmm (No. 123)
Inequivalent atoms, fractional coordinates:
Cr: 0.0000 0.0000 0.0000 [1 per cell]  4 Ru 2.21, 2 Os 2.25
Os: 0.0000 0.0000 0.5000 [1 per cell]  2 Cr 2.25
Ru: 0.0000 0.5000 0.0000 [2 per cell]  2 Cr 2.21
I: 0.5000 0.5000 0.5000 [1 per cell]  4 Os 3.13, 8 Ru 3.15

Properties
DFT total energy in eV per atom: -7.232
Total magnetic moment in μB per cell: 0.00
DOS(E_F) in states/eV per cell: 8.49
V in Å³/cell: 88


Record 7
## Li4P2O7 (PBEsol)

Data for a geometry-optimized Li4P2O7 structure.

Lattice parameters (Å, degrees): 5.1857 7.1001 8.5294 103.18 90.00 111.01
With the nearest neighbours (Å) after each atom.
Space group P-1 (No. 2)
Inequivalent atoms, fractional coordinates:
Li: 0.0262 0.1738 0.2907 [2 per cell]  4 O 1.92-1.99
Li: 0.0524 0.2543 0.9492 [2 per cell]  4 O 1.87-2.07
Li: 0.2543 0.6436 0.5108 [2 per cell]  4 O 1.87-1.97
Li: 0.3957 0.9157 0.2563 [2 per cell]  4 O 1.91-2.00
P: 0.2155 0.2771 0.6537 [2 per cell]  4 O 1.51-1.64
P: 0.4289 0.7148 0.8696 [2 per cell]  4 O 1.51-1.64
O: 0.0089 0.8994 0.2932 [2 per cell]  1 P 1.53
O: 0.1171 0.3490 0.5167 [2 per cell]  1 P 1.53
O: 0.2621 0.2436 0.1232 [2 per cell]  1 P 1.52
O: 0.2652 0.4614 0.8186 [2 per cell]  2 P 1.64
O: 0.3196 0.7748 0.0303 [2 per cell]  1 P 1.51
O: 0.3386 0.7971 0.7355 [2 per cell]  1 P 1.54
O: 0.4833 0.2398 0.6245 [2 per cell]  1 P 1.51

Properties
DFT total energy in eV per atom: -6.706
Total magnetic moment in μB per cell: 0.00
DOS(E_F) in states/eV per cell: 0.00
V in Å³/cell: 284


Record 8
## RbSnP2 (PBEsol)

Data for a geometry-optimized RbSnP2 structure.

Lattice parameters (Å, degrees): 7.6695 7.6695 7.7423 90.00 90.00 90.00
With the nearest neighbours (Å) after each atom.
Space group I-42d (No. 122)
Inequivalent atoms, fractional coordinates:
Rb: 0.0000 0.0000 0.0000 [4 per cell]  4 P 3.31
Sn: 0.0000 0.0000 0.5000 [4 per cell]  4 P 2.52
P: 0.1712 0.7500 0.6250 [8 per cell]  2 Sn 2.52

Properties
DFT total energy in eV per atom: -4.153
Total magnetic moment in μB per cell: 1.51
DOS(E_F) in states/eV per cell: 13.71
V in Å³/cell: 455
Energy of formation from the pure elements in eV per atom: 0.064